# AcTmSbPt | the Alexandria database | GGA-PBE | relaxed
data_AcTmSbPt
_chemical_formula_sum 'Ac4 Tm4 Sb4 Pt4'
_cell_length_a 7.581
_cell_length_b 7.581
_cell_length_c 7.581
_cell_angle_alpha 90.00
_cell_angle_beta 90.00
_cell_angle_gamma 90.00
_symmetry_space_group_name_H-M 'F -4 3 m'
_symmetry_Int_Tables_number 216
_symmetry_space_group_name_Hall 'F -4 2 3'
loop_
_atom_site_label
_atom_site_type_symbol
_atom_site_fract_x
_atom_site_fract_y
_atom_site_fract_z
Ac1 Ac 0.000 0.000 0.000
Tm1 Tm 0.000 0.000 0.500
Sb1 Sb 0.250 0.250 0.250
Pt1 Pt 0.250 0.250 0.750
# **M_tot**: 0.00 μB per formula unit
# **Formation energy from raw total energies**: -0.791 eV/atom
# **ρ**: 10.87 g cm⁻³
# **Energy**: -87.626 eV/cell

# Ac2TmSb3Pt4 | the Alexandria database | GGA-PBE | relaxed
data_Ac2TmSb3Pt4
_chemical_formula_sum 'Ac2 Tm1 Sb3 Pt4'
_cell_length_a 4.650
_cell_length_b 4.650
_cell_length_c 11.311
_cell_angle_alpha 90.00
_cell_angle_beta 90.00
_cell_angle_gamma 90.00
_symmetry_space_group_name_H-M 'P -4 m 2'
_symmetry_Int_Tables_number 115
loop_
_symmetry_equiv_pos_as_xyz
'x,y,z'
'y,-x,-z'
'-x,-y,z'
'-y,x,-z'
'-x,y,z'
'-y,-x,-z'
'x,-y,z'
'y,x,-z'
loop_
_atom_site_label
_atom_site_type_symbol
_atom_site_fract_x
_atom_site_fract_y
_atom_site_fract_z
Ac1 Ac 0.000 0.500 0.224
Tm1 Tm 0.000 0.000 0.500
Sb1 Sb 0.000 0.500 0.874
Sb2 Sb 0.500 0.500 0.500
Pt1 Pt 0.000 0.000 0.000
Pt2 Pt 0.000 0.500 0.639
Pt3 Pt 0.500 0.500 0.000
# **M_tot**: 0.00 μB per formula unit
# **Formation energy from raw total energies**: -1.002 eV/atom
# **ρ**: 12.01 g cm⁻³
# **Energy**: -59.239 eV/cell

# AcYSbPt | the Alexandria database | GGA-PBE | relaxed
data_AcYSbPt
_chemical_formula_sum 'Ac4 Y4 Sb4 Pt4'
_cell_length_a 7.623
_cell_length_b 7.623
_cell_length_c 7.623
_cell_angle_alpha 90.00
_cell_angle_beta 90.00
_cell_angle_gamma 90.00
_symmetry_space_group_name_H-M 'F -4 3 m'
_symmetry_Int_Tables_number 216
_symmetry_space_group_name_Hall 'F -4 2 3'
loop_
_atom_site_label
_atom_site_type_symbol
_atom_site_fract_x
_atom_site_fract_y
_atom_site_fract_z
Ac1 Ac 0.000 0.000 0.000
Y1 Y 0.000 0.000 0.500
Sb1 Sb 0.250 0.250 0.250
Pt1 Pt 0.250 0.250 0.750
# **M_tot**: 0.40 μB per formula unit
# **Formation energy from raw total energies**: -0.827 eV/atom
# **ρ**: 9.49 g cm⁻³
# **Energy**: -96.169 eV/cell

# Ac2ZnSb4Pt3 | the Alexandria database | GGA-PBE | relaxed
data_Ac2ZnSb4Pt3
_chemical_formula_sum 'Ac2 Zn1 Sb4 Pt3'
_cell_length_a 4.834
_cell_length_b 4.834
_cell_length_c 10.419
_cell_angle_alpha 90.00
_cell_angle_beta 90.00
_cell_angle_gamma 90.00
_symmetry_space_group_name_H-M 'P -4 m 2'
_symmetry_Int_Tables_number 115
loop_
_symmetry_equiv_pos_as_xyz
'x,y,z'
'y,-x,-z'
'-x,-y,z'
'-y,x,-z'
'-x,y,z'
'-y,-x,-z'
'x,-y,z'
'y,x,-z'
loop_
_atom_site_label
_atom_site_type_symbol
_atom_site_fract_x
_atom_site_fract_y
_atom_site_fract_z
Ac1 Ac 0.000 0.500 0.242
Zn1 Zn 0.500 0.500 0.000
Sb1 Sb 0.000 0.000 0.500
Sb2 Sb 0.000 0.500 0.874
Sb3 Sb 0.500 0.500 0.500
Pt1 Pt 0.000 0.000 0.000
Pt2 Pt 0.000 0.500 0.619
# **M_tot**: 0.00 μB per formula unit
# **Formation energy from raw total energies**: -0.810 eV/atom
# **ρ**: 10.86 g cm⁻³
# **Energy**: -52.202 eV/cell

# Ac2ZnSbPt6 | the Alexandria database | GGA-PBE | relaxed
data_Ac2ZnSbPt6
_chemical_formula_sum 'Ac4 Zn2 Sb2 Pt12'
_cell_length_a 12.639
_cell_length_b 5.579
_cell_length_c 8.842
_cell_angle_alpha 90.00
_cell_angle_beta 134.00
_cell_angle_gamma 90.00
_symmetry_space_group_name_H-M 'C 1 2/m 1'
_symmetry_Int_Tables_number 12
loop_
_symmetry_equiv_pos_as_xyz
'x,y,z'
'-x,-y,-z'
'-x,y,-z'
'x,-y,z'
'x+1/2,y+1/2,z'
'-x+1/2,-y+1/2,-z'
'-x+1/2,y+1/2,-z'
'x+1/2,-y+1/2,z'
loop_
_atom_site_label
_atom_site_type_symbol
_atom_site_fract_x
_atom_site_fract_y
_atom_site_fract_z
Ac1 Ac 0.239 0.000 0.199
Zn1 Zn 0.000 0.500 0.000
Sb1 Sb 0.000 0.000 0.500
Pt1 Pt 0.004 0.255 0.251
Pt2 Pt 0.245 0.500 0.393
# **M_tot**: 0.00 μB per formula unit
# **Formation energy from raw total energies**: -0.802 eV/atom
# **ρ**: 13.41 g cm⁻³
# **Energy**: -115.747 eV/cell

# AcZnSbPt | the Alexandria database | GGA-PBE | relaxed
data_AcZnSbPt
_chemical_formula_sum 'Ac4 Zn4 Sb4 Pt4'
_cell_length_a 7.266
_cell_length_b 7.266
_cell_length_c 7.266
_cell_angle_alpha 90.00
_cell_angle_beta 90.00
_cell_angle_gamma 90.00
_symmetry_space_group_name_H-M 'F -4 3 m'
_symmetry_Int_Tables_number 216
_symmetry_space_group_name_Hall 'F -4 2 3'
loop_
_atom_site_label
_atom_site_type_symbol
_atom_site_fract_x
_atom_site_fract_y
_atom_site_fract_z
Ac1 Ac 0.000 0.000 0.000
Zn1 Zn 0.250 0.250 0.250
Sb1 Sb 0.000 0.000 0.500
Pt1 Pt 0.250 0.250 0.750
# **M_tot**: 0.00 μB per formula unit
# **Formation energy from raw total energies**: -0.569 eV/atom
# **ρ**: 10.55 g cm⁻³
# **Energy**: -71.287 eV/cell

# AcScPt2 | the Alexandria database | GGA-PBE | relaxed
data_AcScPt2
_chemical_formula_sum 'Ac3 Sc3 Pt6'
_cell_length_a 4.5544
_cell_length_b 4.5544
_cell_length_c 16.0660
_cell_angle_alpha 90.00
_cell_angle_beta 90.00
_cell_angle_gamma 120.00
_symmetry_space_group_name_H-M 'R -3 m'
_symmetry_Int_Tables_number 166
_symmetry_space_group_name_Hall '-R 3 2"'
loop_
_atom_site_label
_atom_site_type_symbol
_atom_site_fract_x
_atom_site_fract_y
_atom_site_fract_z
Ac1 Ac 0.0000 0.0000 0.0000
Sc1 Sc 0.0000 0.0000 0.5000
Pt1 Pt 0.0000 0.0000 0.2146
# **M_tot**: 0.00 μB per formula unit
# **ρ**: 11.43 g cm⁻³
# **ΔH_f (0 K)**: -1.1410 eV/atom
# **Energy**: -81.256 eV/cell

# AcSc3Pt | the Alexandria database | GGA-PBE | relaxed
data_AcSc3Pt
_chemical_formula_sum 'Ac1 Sc3 Pt1'
_cell_length_a 5.221
_cell_length_b 5.221
_cell_length_c 5.221
_cell_angle_alpha 90.00
_cell_angle_beta 90.00
_cell_angle_gamma 90.00
_symmetry_space_group_name_H-M 'P m -3 m'
_symmetry_Int_Tables_number 221
_symmetry_space_group_name_Hall '-P 4 2 3'
loop_
_atom_site_label
_atom_site_type_symbol
_atom_site_fract_x
_atom_site_fract_y
_atom_site_fract_z
Ac1 Ac 0.000 0.000 0.000
Sc1 Sc 0.000 0.500 0.500
Pt1 Pt 0.500 0.500 0.500
# **M_tot**: 0.00 μB per formula unit
# **ρ**: 6.50 g cm⁻³
# **ΔH_f (0 K)**: -0.4194 eV/atom
# **Energy**: -31.241 eV/cell

# AcSc2Pt2 | the Alexandria database | GGA-PBE | relaxed
data_AcSc2Pt2
_chemical_formula_sum 'Ac2 Sc4 Pt4'
_cell_length_a 4.489
_cell_length_b 4.489
_cell_length_c 11.837
_cell_angle_alpha 90.00
_cell_angle_beta 90.00
_cell_angle_gamma 90.00
_symmetry_space_group_name_H-M 'I 4/m m m'
_symmetry_Int_Tables_number 139
_symmetry_space_group_name_Hall '-I 4 2'
loop_
_atom_site_label
_atom_site_type_symbol
_atom_site_fract_x
_atom_site_fract_y
_atom_site_fract_z
Ac1 Ac 0.000 0.000 0.000
Sc1 Sc 0.000 0.500 0.250
Pt1 Pt 0.000 0.000 0.381
# **M_tot**: 0.00 μB per formula unit
# **ρ**: 9.84 g cm⁻³
# **ΔH_f (0 K)**: -1.0462 eV/atom
# **Energy**: -68.168 eV/cell

# AcScPt2 | the Alexandria database | GGA-PBE | relaxed
data_AcScPt2
_chemical_formula_sum 'Ac1 Sc1 Pt2'
_cell_length_a 5.076
_cell_length_b 5.076
_cell_length_c 3.520
_cell_angle_alpha 90.00
_cell_angle_beta 90.00
_cell_angle_gamma 90.00
_symmetry_space_group_name_H-M 'P 4/m m m'
_symmetry_Int_Tables_number 123
_symmetry_space_group_name_Hall '-P 4 2'
loop_
_atom_site_label
_atom_site_type_symbol
_atom_site_fract_x
_atom_site_fract_y
_atom_site_fract_z
Ac1 Ac 0.000 0.000 0.000
Sc1 Sc 0.500 0.500 0.000
Pt1 Pt 0.000 0.500 0.500
# **M_tot**: 0.00 μB per formula unit
# **ρ**: 12.13 g cm⁻³
# **ΔH_f (0 K)**: -0.9374 eV/atom
# **Energy**: -26.271 eV/cell

# AcScPt2 | the Alexandria database | GGA-PBE | relaxed
data_AcScPt2
_chemical_formula_sum 'Ac1 Sc1 Pt2'
_cell_length_a 3.482
_cell_length_b 3.482
_cell_length_c 7.303
_cell_angle_alpha 90.00
_cell_angle_beta 90.00
_cell_angle_gamma 90.00
_symmetry_space_group_name_H-M 'P 4/m m m'
_symmetry_Int_Tables_number 123
_symmetry_space_group_name_Hall '-P 4 2'
loop_
_atom_site_label
_atom_site_type_symbol
_atom_site_fract_x
_atom_site_fract_y
_atom_site_fract_z
Ac1 Ac 0.000 0.000 0.000
Sc1 Sc 0.000 0.000 0.500
Pt1 Pt 0.500 0.500 0.297
# **M_tot**: 0.00 μB per formula unit
# **ρ**: 12.42 g cm⁻³
# **ΔH_f (0 K)**: -1.0423 eV/atom
# **Energy**: -26.691 eV/cell

# AcScPt | the Alexandria database | GGA-PBE | relaxed
data_AcScPt
_chemical_formula_sum 'Ac2 Sc2 Pt2'
_cell_length_a 4.726
_cell_length_b 4.726
_cell_length_c 7.135
_cell_angle_alpha 90.00
_cell_angle_beta 90.00
_cell_angle_gamma 90.00
_symmetry_space_group_name_H-M 'P 4/n m m'
_symmetry_Int_Tables_number 129
loop_
_symmetry_equiv_pos_as_xyz
'x,y,z'
'-x,-y,-z'
'-y+1/2,x,z'
'y+1/2,-x,-z'
'-x+1/2,-y+1/2,z'
'x+1/2,y+1/2,-z'
'y,-x+1/2,z'
'-y,x+1/2,-z'
'x+1/2,-y,-z'
'-x+1/2,y,z'
'-y,-x,-z'
'y,x,z'
'-x,y+1/2,-z'
'x,-y+1/2,z'
'y+1/2,x+1/2,-z'
'-y+1/2,-x+1/2,z'
loop_
_atom_site_label
_atom_site_type_symbol
_atom_site_fract_x
_atom_site_fract_y
_atom_site_fract_z
Ac1 Ac 0.250 0.250 0.127
Sc1 Sc 0.250 0.750 0.500
Pt1 Pt 0.250 0.250 0.700
# **M_tot**: 0.00 μB per formula unit
# **ρ**: 9.73 g cm⁻³
# **ΔH_f (0 K)**: -0.8939 eV/atom
# **Energy**: -38.325 eV/cell

# AcScPt4 | the Alexandria database | GGA-PBE | relaxed
data_AcScPt4
_chemical_formula_sum 'Ac4 Sc4 Pt16'
_cell_length_a 7.780
_cell_length_b 7.780
_cell_length_c 7.780
_cell_angle_alpha 90.00
_cell_angle_beta 90.00
_cell_angle_gamma 90.00
_symmetry_space_group_name_H-M 'F -4 3 m'
_symmetry_Int_Tables_number 216
_symmetry_space_group_name_Hall 'F -4 2 3'
loop_
_atom_site_label
_atom_site_type_symbol
_atom_site_fract_x
_atom_site_fract_y
_atom_site_fract_z
Ac1 Ac 0.000 0.000 0.000
Sc1 Sc 0.250 0.250 0.250
Pt1 Pt 0.124 0.124 0.624
# **M_tot**: 0.00 μB per formula unit
# **ρ**: 14.84 g cm⁻³
# **ΔH_f (0 K)**: -0.9448 eV/atom
# **Energy**: -161.088 eV/cell